# 1
A plane-wave DFT calculation with PBE was carried out for an optimized crystal structure of Hf12Bi6N.

Cell and atoms, written as POSCAR:
```
Hf12Bi6N
1.0
6.157 3.555 3.527
-6.157 3.555 3.527
0.000 -7.109 3.527
Hf Bi N
12 6 1
direct
0.019 0.289 0.062 Hf
0.062 0.019 0.289 Hf
0.211 0.401 0.500 Hf
0.289 0.062 0.019 Hf
0.401 0.500 0.211 Hf
0.500 0.211 0.401 Hf
0.500 0.789 0.599 Hf
0.599 0.500 0.789 Hf
0.711 0.938 0.981 Hf
0.789 0.599 0.500 Hf
0.938 0.981 0.711 Hf
0.981 0.711 0.938 Hf
0.099 0.663 0.317 Bi
0.317 0.099 0.663 Bi
0.337 0.683 0.901 Bi
0.663 0.317 0.099 Bi
0.683 0.901 0.337 Bi
0.901 0.337 0.683 Bi
0.000 0.000 0.000 N
```

Values from the calculation:
formation energy (no corrections)	-0.093	eV/atom
total moment	0.00	μB per formula unit



# 2
A plane-wave DFT calculation with PBE was carried out for an optimized crystal structure of SiSb2Mo.

Cell and atoms, written as POSCAR:
```
SiSb2Mo
1.0
0.000 3.416 3.416
3.416 0.000 3.416
3.416 3.416 0.000
Si Sb Mo
1 2 1
direct
0.000 0.000 0.000 Si
0.250 0.250 0.250 Sb
0.500 0.500 0.500 Sb
0.750 0.750 0.750 Mo
```

Values from the calculation:
formation energy (no corrections)	0.697	eV/atom
total moment	0.54	μB per formula unit